DFT (PBE) results for an optimized crystal structure of CsTlFe2.

Lattice parameters (Å, degrees): 4.725 4.725 21.270 90.00 90.00 90.00
Positions (direct):
1 Cs 0.000 0.000 0.000
2 Cs 0.000 0.500 0.250
3 Cs 0.500 0.000 0.750
4 Cs 0.500 0.500 0.500
5 Tl 0.000 0.000 0.500
6 Tl 0.000 0.500 0.750
7 Tl 0.500 0.000 0.250
8 Tl 0.500 0.500 0.000
9 Fe 0.104 0.250 0.125
10 Fe 0.250 0.604 0.375
11 Fe 0.250 0.896 0.875
12 Fe 0.396 0.250 0.625
13 Fe 0.604 0.750 0.625
14 Fe 0.750 0.104 0.875
15 Fe 0.750 0.396 0.375
16 Fe 0.896 0.750 0.125

## Properties
D(E_F) (states/eV/atom): 2.016
Energy above the lowest structure with this stoichiometry (eV per formula unit): 0.72
Magnetic moment (μB/atom): 1.38
DFT total energy (eV/atom): -3.49